This record from the Alexandria database describes a relaxed structure of Cs2PmW3O12. The functional is GGA+U.

## Properties
Crystal system: trigonal
D(E_F): 10.72 states/eV/cell
Raw total energy: -126.62 eV/cell

Unit cell a=7.776 b=7.776 c=7.776 alpha=58.05 beta=58.05 gamma=58.05
Sites, in units of the cell vectors:
Cs1 0.124 0.124 0.124
Cs2 0.876 0.876 0.876
Pm1 0.500 0.500 0.500
W1 0.000 0.500 0.500
W2 0.500 0.000 0.500
W3 0.500 0.500 0.000
O1 0.136 0.578 0.578
O2 0.202 0.202 0.569
O3 0.202 0.569 0.202
O4 0.422 0.422 0.864
O5 0.422 0.864 0.422
O6 0.431 0.798 0.798
O7 0.569 0.202 0.202
O8 0.578 0.136 0.578
O9 0.578 0.578 0.136
O10 0.798 0.431 0.798
O11 0.798 0.798 0.431
O12 0.864 0.422 0.422